1.
## Ac6As2P3S (PBE)

Data for crystalline Ac6As2P3S at its relaxed geometry.

Structure (POSCAR):
```
Ac6As2P3S
1.0
9.723 -2.231 0.000
9.723 2.231 0.000
-2.067 0.000 8.686
Ac As P S
6 2 3 1
Cartesian
-0.474 0.000 2.133
5.588 0.000 3.652
4.613 0.000 7.937
12.766 0.000 0.749
11.791 0.000 5.034
17.853 0.000 6.554
1.493 0.000 7.211
15.886 0.000 1.475
2.534 0.000 2.906
9.723 0.000 0.000
14.845 0.000 5.781
8.690 0.000 4.343
```

---

2.
AgPRuO2 (PBE, optimized geometry); offset from the most stable computed form = 0.00 eV/f.u.
1.0
3.736 0.000 0.000
0.000 3.736 0.000
0.000 0.000 5.314
Ag P Ru O
1 1 1 2
Cartesian
0.000 0.000 0.000
1.868 1.868 0.000
1.868 1.868 2.657
0.000 1.868 2.657
1.868 0.000 2.657

---

3.
## Dy2TmSi2Rh5 (PBE)

Data for crystalline Dy2TmSi2Rh5 at its relaxed geometry.

Structure (POSCAR):
```
Dy2TmSi2Rh5
1.0
9.950 0.000 0.000
0.000 9.950 0.000
0.000 0.000 3.524
Dy Tm Si Rh
4 2 4 10
Cartesian
1.731 3.244 0.000
3.244 8.219 0.000
6.705 1.731 0.000
8.219 6.705 0.000
0.000 0.000 0.000
4.975 4.975 0.000
1.224 6.199 0.000
3.751 1.224 0.000
6.199 8.726 0.000
8.726 3.751 0.000
0.000 4.975 1.762
0.696 7.754 1.762
2.195 0.696 1.762
2.779 5.671 1.762
4.278 2.779 1.762
4.975 0.000 1.762
5.671 7.170 1.762
7.170 4.278 1.762
7.754 9.253 1.762
9.253 2.195 1.762
```

---

4.
IrNCl2 (PBE, optimized geometry); offset from the most stable computed form = 6.81 eV/f.u.
1.0
0.000 3.033 3.033
3.033 0.000 3.033
3.033 3.033 0.000
Ir N Cl
1 1 2
Cartesian
0.000 0.000 0.000
3.033 3.033 3.033
1.517 1.517 1.517
4.550 4.550 4.550

---

5.
Th2ZnCuC (PBE, optimized geometry); energy of formation = -0.85 eV/f.u.
1.0
7.021 0.000 0.000
0.000 3.814 0.000
-2.373 0.000 7.844
Th Zn Cu C
4 2 2 2
Cartesian
0.380 0.953 3.044
-0.821 0.953 7.533
5.470 2.860 0.310
4.268 2.860 4.800
0.601 2.860 5.484
4.047 0.953 2.360
2.568 2.860 1.969
2.080 0.953 5.874
0.658 2.860 1.331
3.990 0.953 6.512

---

6.
RbTl2Cd2 (PBE, optimized geometry); energy of formation = -0.27 eV/f.u.; offset from the most stable computed form = 0.00 eV/f.u.
1.0
7.132 0.000 0.000
-0.306 7.277 0.000
-2.869 -2.844 6.426
Rb Tl Cd
2 4 4
Cartesian
0.291 -0.459 1.958
3.666 4.891 4.468
-1.752 1.140 5.130
0.480 -1.208 5.702
3.477 5.640 0.724
5.710 3.293 1.296
0.111 3.378 4.089
1.787 3.141 1.633
2.170 1.291 4.793
3.847 1.055 2.337

---

7.
GeSb2Te (PBE, optimized geometry); offset from the most stable computed form = 0.00 eV/f.u.
1.0
2.130 1.230 7.071
-2.130 1.230 7.071
0.000 -2.459 7.071
Ge Sb Te
1 2 1
Cartesian
0.000 0.000 0.000
0.000 0.000 5.529
0.000 0.000 15.684
0.000 0.000 10.606

---

8.
## La3LuS (PBE)

Data for crystalline La3LuS at its relaxed geometry.

Structure (POSCAR):
```
La3LuS
1.0
5.580 0.000 0.000
0.000 5.580 0.000
0.000 0.000 5.580
La Lu S
3 1 1
Cartesian
0.000 0.000 2.790
0.000 2.790 0.000
2.790 0.000 0.000
2.790 2.790 2.790
0.000 0.000 0.000
```

---

9.
AlMo2Se (PBE, optimized geometry); offset from the most stable computed form = 1.31 eV/f.u.
1.0
0.000 3.141 3.141
3.141 0.000 3.141
3.141 3.141 0.000
Al Mo Se
1 2 1
Cartesian
0.000 0.000 0.000
1.571 1.571 1.571
4.712 4.712 4.712
3.141 3.141 3.141

---

10.
NaAcSi4 (PBE, optimized geometry); offset from the most stable computed form = 0.23 eV/f.u.
1.0
0.000 3.955 3.955
3.955 0.000 3.955
3.955 3.955 0.000
Na Ac Si
1 1 4
Cartesian
0.000 0.000 0.000
1.977 1.977 1.977
5.028 2.881 2.881
2.881 5.028 2.881
2.881 2.881 5.028
5.028 5.028 5.028

---

11.
Pr6Ga2Sn (PBE, optimized geometry); energy of formation = -3.96 eV/f.u.
1.0
-5.005 5.020 5.554
5.005 -5.020 5.554
5.005 5.020 -5.554
Pr Ga Sn
12 4 2
Cartesian
5.005 3.004 -2.931
2.835 1.876 0.000
7.176 1.876 0.000
2.068 5.020 -1.972
2.938 0.000 3.581
0.000 2.016 2.623
5.005 3.004 2.931
2.068 5.020 1.972
2.938 0.000 7.526
-2.171 3.144 5.554
2.171 3.144 5.554
0.000 2.016 8.484
5.005 0.000 1.320
0.000 3.623 0.000
0.000 6.418 0.000
0.000 5.020 4.233
0.000 0.000 0.000
0.000 0.000 5.554

---

12.
## KVCoS3 (PBE)

Data for crystalline KVCoS3 at its relaxed geometry.

Structure (POSCAR):
```
KVCoS3
1.0
8.240 0.000 0.000
0.000 3.463 0.000
-3.872 0.000 8.212
K V Co S
2 2 2 6
Cartesian
1.004 0.866 2.113
3.364 2.597 6.099
-0.759 2.597 6.863
5.127 0.866 1.349
-1.661 0.866 4.999
6.029 2.597 3.213
-2.373 0.866 7.080
-0.354 2.597 4.562
3.398 2.597 1.094
0.969 0.866 7.118
4.721 0.866 3.650
6.741 2.597 1.132
```

---

Calculated M_tot in order - 0.000; 0.627; 0.000; 0.001; 0.000; 0.000; 0.000; 0.006; 0.000; 0.000; 0.001; 1.326 μB/cell
Calculated calculated total energy in order - -73.5; -28.8; -71.5; -12.9; -30.3; -7.8; -15.7; -26.9; -27.9; -27.9; -42.7; -35.0 eV/f.u.